Record 1
YIF after structural relaxation, computed with PBE-GGA.

abc: 3.952 6.069 7.153
angles: 99.32 73.95 71.00
Sites, in units of the cell vectors:
Y1 0.435 0.897 0.234
Y2 0.565 0.103 0.766
I1 0.166 0.450 0.217
I2 0.834 0.550 0.783
F1 0.222 0.953 0.603
F2 0.778 0.047 0.397

Summary:
mass density = 5207 kg/m3
formation energy without anion corrections = -2.2266 eV per atom
space group = C2/m (12)


Record 2
YI3F after structural relaxation, computed with PBE-GGA.

abc: 5.978 5.978 5.978
angles: 90.00 90.00 90.00
Sites, in units of the cell vectors:
I1 0.000 0.500 0.000
I2 0.000 0.000 0.500
I3 0.500 0.000 0.000
F1 0.500 0.500 0.500
Y1 0.000 0.000 0.000

Summary:
mass density = 3798 kg/m3
formation energy without anion corrections = -0.9215 eV per atom
space group = Pm-3m (221)


Record 3
Y2IF2 after structural relaxation, computed with PBE-GGA.

abc: 3.790 3.790 7.337
angles: 75.03 75.03 90.00
Sites, in units of the cell vectors:
I1 0.000 0.000 0.000
F1 0.750 0.250 0.500
F2 0.250 0.750 0.500
Y1 0.634 0.634 0.733
Y2 0.366 0.366 0.267

Summary:
mass density = 5802 kg/m3
formation energy without anion corrections = -2.1323 eV per atom
space group = I4/mmm (139)


Record 4
YZnI2F after structural relaxation, computed with PBE-GGA.

abc: 5.822 3.914 5.822
angles: 90.00 90.00 90.00
Sites, in units of the cell vectors:
Zn1 0.000 0.000 0.000
I1 0.000 0.000 0.500
I2 0.500 0.000 0.000
F1 0.000 0.500 0.000
Y1 0.500 0.500 0.500

Summary:
mass density = 5346 kg/m3
formation energy without anion corrections = -0.8690 eV per atom
space group = P4/mmm (123)


Record 5
Yb2I2F after structural relaxation, computed with PBE-GGA.

abc: 4.379 4.379 14.476
angles: 90.00 90.00 90.00
Sites, in units of the cell vectors:
I1 0.500 0.500 0.348
I2 0.500 0.500 0.652
F1 0.500 0.500 0.000
Yb1 0.500 0.500 0.847
Yb2 0.500 0.500 0.153

Summary:
mass density = 3703 kg/m3
formation energy without anion corrections = -1.2074 eV per atom
space group = P4/mmm (123)


Record 6
Zn2IF after structural relaxation, computed with PBE-GGA.

abc: 4.814 4.814 4.814
angles: 60.00 60.00 60.00
Sites, in units of the cell vectors:
Zn1 0.750 0.750 0.750
Zn2 0.250 0.250 0.250
I1 0.500 0.500 0.500
F1 0.000 0.000 0.000

Summary:
mass density = 5826 kg/m3
energy above the most stable polymorph in this dataset = 245 meV/atom
formation energy without anion corrections = -0.3480 eV per atom
space group = Fm-3m (225)